{"formula": "CePm5Ge6", "functional": "PBE", "state": "relaxed", "spacegroup": "C2/m, No. 12", "lattice_angstrom": [[3.707, -6.393, 0.000], [3.707, 6.393, 0.000], [-2.453, 0.000, 6.910]], "species": ["Ce", "Pm", "Pm", "Pm", "Pm", "Pm", "Ge", "Ge", "Ge", "Ge", "Ge", "Ge"], "fractional_positions": [[0.000, 0.000, 0.000], [0.169, 0.831, 0.500], [0.333, 0.667, 0.000], [0.500, 0.500, 0.500], [0.667, 0.333, 0.000], [0.831, 0.169, 0.500], [0.082, 0.410, 0.246], [0.246, 0.246, 0.751], [0.410, 0.082, 0.246], [0.590, 0.918, 0.754], [0.754, 0.754, 0.249], [0.918, 0.590, 0.754]]}

***

{"formula": "ScMo", "functional": "PBE", "state": "relaxed", "e_above_lowest_polymorph_mev_per_atom": 307, "spacegroup": "P4/nmm, No. 129", "lattice_angstrom": [[2.785, 0.000, 0.000], [0.000, 2.785, 0.000], [0.000, 0.000, 9.701]], "species": ["Sc", "Sc", "Mo", "Mo"], "fractional_positions": [[0.250, 0.250, 0.149], [0.750, 0.750, 0.851], [0.250, 0.250, 0.618], [0.750, 0.750, 0.382]]}

***

{"formula": "TbNd5Dy3", "functional": "PBE", "state": "relaxed", "e_above_lowest_polymorph_mev_per_atom": 0, "spacegroup": "C2/c, No. 15", "lattice_angstrom": [[8.280, -3.391, 0.000], [8.280, 3.391, 0.000], [-4.074, 0.000, 10.935]], "species": ["Tb", "Tb", "Nd", "Nd", "Nd", "Nd", "Nd", "Nd", "Nd", "Nd", "Nd", "Nd", "Dy", "Dy", "Dy", "Dy", "Dy", "Dy"], "fractional_positions": [[0.240, 0.760, 0.750], [0.760, 0.240, 0.250], [0.084, 0.258, 0.844], [0.258, 0.084, 0.344], [0.312, 0.688, 0.250], [0.387, 0.392, 0.949], [0.392, 0.387, 0.449], [0.608, 0.613, 0.551], [0.613, 0.608, 0.051], [0.688, 0.312, 0.750], [0.742, 0.916, 0.656], [0.916, 0.742, 0.156], [0.000, 0.000, 0.000], [0.000, 0.000, 0.500], [0.164, 0.357, 0.627], [0.357, 0.164, 0.127], [0.643, 0.836, 0.873], [0.836, 0.643, 0.373]]}

***

{"formula": "Mn3CrS", "functional": "PBE", "state": "relaxed", "e_above_lowest_polymorph_mev_per_atom": 842, "e_form_raw_ev_per_atom": 1.502, "spacegroup": "Pm-3m, No. 221", "lattice_angstrom": [[4.188, 0.000, 0.000], [0.000, 4.188, 0.000], [0.000, 0.000, 4.188]], "species": ["Mn", "Mn", "Mn", "Cr", "S"], "fractional_positions": [[0.000, 0.000, 0.500], [0.000, 0.500, 0.000], [0.500, 0.000, 0.000], [0.000, 0.000, 0.000], [0.500, 0.500, 0.500]]}

***

{"formula": "MgCrOs2", "functional": "PBE", "state": "relaxed", "spacegroup": "C2/m, No. 12", "lattice_angstrom": [[4.701, -1.424, 0.000], [4.701, 1.424, 0.000], [-1.533, 0.000, 4.352]], "species": ["Mg", "Cr", "Os", "Os"], "fractional_positions": [[0.000, 0.000, 0.000], [0.500, 0.500, 0.500], [0.226, 0.226, 0.723], [0.774, 0.774, 0.277]]}

***

{"formula": "AsPb4Se3", "functional": "PBE", "state": "relaxed", "e_form_raw_ev_per_atom": -0.371, "spacegroup": "Cmmm, No. 65", "lattice_angstrom": [[4.355, -6.162, 0.000], [4.355, 6.162, 0.000], [0.000, 0.000, 4.332]], "species": ["As", "Pb", "Pb", "Pb", "Pb", "Se", "Se", "Se"], "fractional_positions": [[0.000, 0.000, 0.000], [0.240, 0.240, 0.500], [0.247, 0.753, 0.000], [0.753, 0.247, 0.000], [0.760, 0.760, 0.500], [0.000, 0.500, 0.500], [0.500, 0.000, 0.500], [0.500, 0.500, 0.000]]}

***

{"formula": "Cr2CdHg", "functional": "PBE", "state": "relaxed", "e_above_lowest_polymorph_mev_per_atom": 368, "spacegroup": "R-3m, No. 166", "lattice_angstrom": [[1.556, 0.898, 9.037], [-1.556, 0.898, 9.037], [0.000, -1.797, 9.037]], "species": ["Cr", "Cr", "Cd", "Hg"], "fractional_positions": [[0.249, 0.249, 0.249], [0.751, 0.751, 0.751], [0.000, 0.000, 0.000], [0.500, 0.500, 0.500]]}

***

{"formula": "Na3LaBe", "functional": "PBE", "state": "relaxed", "e_above_lowest_polymorph_mev_per_atom": 0, "spacegroup": "Pm-3m, No. 221", "lattice_angstrom": [[5.346, 0.000, 0.000], [0.000, 5.346, 0.000], [0.000, 0.000, 5.346]], "species": ["Na", "Na", "Na", "La", "Be"], "fractional_positions": [[0.000, 0.000, 0.500], [0.000, 0.500, 0.000], [0.500, 0.000, 0.000], [0.500, 0.500, 0.500], [0.000, 0.000, 0.000]]}

***

{"formula": "In8Sn4Bi", "functional": "PBE", "state": "relaxed", "spacegroup": "Pmm2, No. 25", "lattice_angstrom": [[4.375, 0.000, 0.000], [0.000, 4.748, 0.000], [0.000, 0.000, 17.977]], "species": ["In", "In", "In", "In", "In", "In", "In", "In", "Sn", "Sn", "Sn", "Sn", "Bi"], "fractional_positions": [[0.000, 0.000, 0.000], [0.000, 0.000, 0.268], [0.000, 0.500, 0.156], [0.000, 0.500, 0.563], [0.500, 0.000, 0.574], [0.500, 0.000, 0.861], [0.500, 0.500, 0.006], [0.500, 0.500, 0.709], [0.000, 0.000, 0.721], [0.000, 0.500, 0.855], [0.500, 0.000, 0.140], [0.500, 0.500, 0.354], [0.000, 0.000, 0.434]]}

***

{"formula": "AlOs2Br", "functional": "PBE", "state": "relaxed", "e_above_lowest_polymorph_mev_per_atom": 580, "e_form_raw_ev_per_atom": 0.841, "spacegroup": "Imm2, No. 44", "lattice_angstrom": [[-1.457, 2.205, 5.009], [1.457, -2.205, 5.009], [1.457, 2.205, -5.009]], "species": ["Al", "Os", "Os", "Br"], "fractional_positions": [[0.000, 0.000, 0.000], [0.549, 0.549, 0.000], [0.775, 0.275, 0.500], [0.264, 0.764, 0.500]]}

***

{"formula": "Tl2InSeN", "functional": "PBE", "state": "relaxed", "e_form_raw_ev_per_atom": 0.579, "spacegroup": "P4/mmm, No. 123", "lattice_angstrom": [[5.107, 0.000, 0.000], [0.000, 5.107, 0.000], [0.000, 0.000, 4.557]], "species": ["Tl", "Tl", "In", "Se", "N"], "fractional_positions": [[0.000, 0.500, 0.000], [0.500, 0.000, 0.000], [0.000, 0.000, 0.500], [0.500, 0.500, 0.500], [0.500, 0.500, 0.000]]}

***

{"formula": "PdAuS3", "functional": "PBE", "state": "relaxed", "e_above_lowest_polymorph_mev_per_atom": 0, "e_form_raw_ev_per_atom": 0.792, "spacegroup": "Pm-3m, No. 221", "lattice_angstrom": [[4.705, 0.000, 0.000], [0.000, 4.705, 0.000], [0.000, 0.000, 4.705]], "species": ["Pd", "Au", "S", "S", "S"], "fractional_positions": [[0.000, 0.000, 0.000], [0.500, 0.500, 0.500], [0.000, 0.000, 0.500], [0.000, 0.500, 0.000], [0.500, 0.000, 0.000]]}

***

Calculated values (eV/cell) of raw total energy for the records, taken in order: -65.3; -33.2; -81.5; -33.7; -32.8; -32.9; -17.8; -9.2; -40.8; -24.5; -16.4; -16.9.